This record from the Alexandria database describes an optimized crystal structure of AcPrSmTh. The functional is PBE.

The structure in CIF format:
```
data_AcPrSmTh
_chemical_formula_sum 'Ac1 Pr1 Sm1 Th1'
_space_group_name_H-M_alt 'P 4 m m'
_space_group_IT_number 99
_cell_length_a 3.705
_cell_length_b 3.705
_cell_length_c 10.675
_cell_angle_alpha 90.00
_cell_angle_beta 90.00
_cell_angle_gamma 90.00
loop_
_space_group_symop_operation_xyz
'x,y,z'
'-y,x,z'
'-x,-y,z'
'y,-x,z'
'-x,y,z'
'y,x,z'
'x,-y,z'
'-y,-x,z'
loop_
_atom_site_label
_atom_site_fract_x
_atom_site_fract_y
_atom_site_fract_z
Ac1 0.000 0.000 0.000
Pr1 0.500 0.500 0.724
Sm1 0.500 0.500 0.269
Th1 0.000 0.000 0.494
```

## Properties
**Total energy**: -5.211 eV per atom
**Energy relative to the elements**: 0.2 eV/f.u.